# 1
CsBaTe | GGA-PBE | optimized geometry

Output
- Formation energy from raw total energies: -2.9 eV/f.u.
- Offset from the most stable computed form: 33 meV/atom
- Symmetry: Pnma (62)
- Electronic total energy: -35.3 eV per cell

Cell and atoms, written as POSCAR:
```
CsBaTe
1.0
11.4858 0.0000 0.0000
0.0000 6.2780 0.0000
0.0000 0.0000 8.8393
Cs Ba Te
4 4 4
Cartesian
0.7849 1.5695 1.6234 Cs
4.9579 4.7085 6.0431 Cs
6.5278 1.5695 2.7963 Cs
10.7008 4.7085 7.2159 Cs
1.8374 1.5695 5.5766 Ba
3.9055 4.7085 1.1570 Ba
7.5803 1.5695 7.6824 Ba
9.6484 4.7085 3.2627 Ba
1.6713 4.7085 3.9082 Te
4.0716 1.5695 8.3279 Te
7.4142 4.7085 0.5114 Te
9.8145 1.5695 4.9311 Te
```

# 2
Cd2SnO | GGA-PBE | optimized geometry

Output
- Formation energy from raw total energies: 1.0 eV/f.u.
- Offset from the most stable computed form: 573 meV/atom
- Symmetry: Fm-3m (225)
- Electronic total energy: -9.8 eV per cell

Cell and atoms, written as POSCAR:
```
Cd2SnO
1.0
0.0000 3.4388 3.4388
3.4388 0.0000 3.4388
3.4388 3.4388 0.0000
Cd Sn O
2 1 1
Cartesian
1.7194 1.7194 1.7194 Cd
5.1582 5.1582 5.1582 Cd
0.0000 0.0000 0.0000 Sn
3.4388 3.4388 3.4388 O
```

# 3
InFe2 | GGA-PBE | optimized geometry

Output
- Symmetry: P-3m1 (164)
- Electronic total energy: -18.6 eV per cell
- Energy relative to the elements: 0.3565 eV per atom

Cell and atoms, written as POSCAR:
```
InFe2
1.0
2.9489 0.0000 0.0000
-1.4745 2.5538 0.0000
0.0000 0.0000 6.2297
In Fe
1 2
Cartesian
0.0000 0.0000 0.0000 In
0.0000 1.7026 3.9591 Fe
1.4745 0.8513 2.2705 Fe
```

# 4
LuTiCd2 | GGA-PBE | optimized geometry

Output
- Offset from the most stable computed form: 15 meV/atom
- Symmetry: Fm-3m (225)
- Electronic total energy: -14.5 eV per cell
- Energy relative to the elements: -0.0519 eV per atom

Cell and atoms, written as POSCAR:
```
LuTiCd2
1.0
0.0000 3.5232 3.5232
3.5232 0.0000 3.5232
3.5232 3.5232 0.0000
Lu Ti Cd
1 1 2
Cartesian
0.0000 0.0000 0.0000 Lu
3.5232 3.5232 3.5232 Ti
1.7616 1.7616 1.7616 Cd
5.2848 5.2848 5.2848 Cd
```